The following is a GGA-PBE calculation of Pm8Dy3In after structural relaxation, from Alexandria via LeMat-Bulk.

Cell and atoms, written as POSCAR:
```
Pm8Dy3In
1.0
-8.254 0.021 -1.663
4.480 -6.701 -2.433
2.383 -0.620 8.052
Pm Dy In
8 3 1
Cartesian
-2.331 -1.982 0.683
1.184 -5.580 3.473
-4.430 -5.004 -1.529
2.794 -2.037 5.285
0.508 -2.774 1.711
-5.295 -0.904 -0.535
4.862 -4.700 5.531
5.395 -6.245 2.868
-0.172 -5.171 -0.643
-1.220 -2.130 4.599
3.431 -3.661 2.810
0.000 0.000 0.000
```

Properties
SG: No. 121
Total energy, eV/cell: -49.12
Total magnetization, μB per cell: 0.000
Energy relative to the elements, kJ/mol of atoms: 44



The following is a GGA-PBE calculation of PmDyIn4 after structural relaxation, from Alexandria via LeMat-Bulk.

Cell and atoms, written as POSCAR:
```
PmDyIn4
1.0
-1.362 0.973 5.793
-0.553 -4.657 3.791
4.156 -0.921 4.270
Pm In Dy
1 4 1
Cartesian
0.560 -1.151 3.463
-0.678 -2.417 6.523
1.677 -0.549 6.763
1.401 -2.878 8.659
2.082 -3.365 5.762
0.000 0.000 0.000
```

Properties
SG: No. 216
Total energy, eV/cell: -22.52
Energy above the lowest structure with this stoichiometry, meV/atom: 52
Total magnetization, μB per cell: 0.000
Energy relative to the elements, kJ/mol of atoms: -36



The following is a GGA-PBE calculation of Pm7Dy2In2 after structural relaxation, from Alexandria via LeMat-Bulk.

Cell and atoms, written as POSCAR:
```
Pm7Dy2In2
1.0
3.683 0.000 0.000
1.842 10.463 -0.299
1.842 4.698 9.354
Pm Dy In
7 2 2
Cartesian
3.683 1.795 3.091
5.525 8.820 7.627
3.683 4.886 9.038
3.683 6.539 2.651
3.683 9.726 4.555
3.683 11.588 8.940
1.842 4.264 4.906
5.525 12.254 6.208
1.842 3.884 1.210
1.842 9.252 1.729
3.683 6.650 6.085
```

Properties
SG: No. 44
Total energy, eV/cell: -48.38
Total magnetization, μB per cell: 0.000
Energy relative to the elements, kJ/mol of atoms: -4